This record from Alexandria via LeMat-Bulk describes crystalline FeSb2RhI at its relaxed geometry. The functional is PBE-GGA.

abc: 4.749 4.749 5.332
angles: 90.00 90.00 90.00
Element x y z (fractional)
Fe (0.000, 0.000, 0.000)
Sb (0.000, 0.500, 0.000)
Sb (0.500, 0.000, 0.000)
Rh (0.500, 0.500, 0.500)
I (0.000, 0.000, 0.500)

Computed properties:
DOS at the Fermi energy   4.33 states/eV per cell
Raw total energy   -4.32 eV per atom
Formation energy (no corrections)   0.80 eV per atom